{
  "formula": "CrCuO3",
  "functional": "PBE+U",
  "state": "relaxed",
  "n_ef_per_ev_fu": 3.53,
  "magmom_total_mub_per_cell": 3.2,
  "energy_ev_per_atom": -5.56,
  "cell": [[3.747, 0.000, 0.000], [0.000, 3.747, 0.000], [0.000, 0.000, 3.747]],
  "species": ["Cr", "Cu", "O", "O", "O"],
  "fractional_positions": [[0.000, 0.000, 0.000], [0.500, 0.500, 0.500], [0.000, 0.500, 0.500], [0.500, 0.000, 0.500], [0.500, 0.500, 0.000]]
}